(1)
## K2TlPt (PBE)

Data for a relaxed structure of K2TlPt.

Final energy in eV/atom: -2.789
Energy of formation from the pure elements in kJ/mol of formula units: -53.3
D(E_F) in states/eV/f.u.: 1.5
ΔE to the lowest computed polymorph in meV per atom: 0

a = 4.781 Å, b = 4.781 Å, c = 8.563 Å
α = 106.06°, β = 106.06°, γ = 59.98°
Fractional coordinates of all 4 atoms:
K 0.000 0.000 0.000
K 0.178 0.178 0.540
Tl 0.755 0.755 0.270
Pt 0.422 0.422 0.269

---

(2)
## CeGaAs (PBE)

Data for a relaxed structure of CeGaAs.

Final energy in eV/atom: -5.079
Energy of formation from the pure elements in kJ/mol of formula units: -157.0
D(E_F) in states/eV/f.u.: 6.0
ΔE to the lowest computed polymorph in meV per atom: 310

a = 5.718 Å, b = 5.718 Å, c = 5.718 Å
α = 143.47°, β = 143.47°, γ = 52.62°
Fractional coordinates of all 3 atoms:
Ce 0.000 0.000 0.000
Ga 0.701 0.701 0.000
As 0.314 0.314 0.000

---

(3)
## KScCo2Cl8 (PBE)

Data for a relaxed structure of KScCo2Cl8.

Final energy in eV/atom: -4.314
ΔE_f (raw) in eV per atom: -1.280

a = 6.330 Å, b = 6.330 Å, c = 9.300 Å
α = 93.26°, β = 93.26°, γ = 68.97°
Fractional coordinates of all 12 atoms:
K 0.000 0.000 0.000
Sc 0.000 0.000 0.500
Co 0.375 0.375 0.710
Co 0.625 0.625 0.290
Cl 0.237 0.749 0.303
Cl 0.239 0.239 0.509
Cl 0.251 0.763 0.697
Cl 0.299 0.299 0.923
Cl 0.701 0.701 0.077
Cl 0.749 0.237 0.303
Cl 0.761 0.761 0.491
Cl 0.763 0.251 0.697

---

(4)
## Rb3U3AlSe8 (PBE)

Data for a relaxed structure of Rb3U3AlSe8.

Final energy in eV/atom: -5.696
ΔE_f (raw) in eV per atom: -1.136
D(E_F) in states/eV/f.u.: 15.8

a = 9.471 Å, b = 9.471 Å, c = 9.471 Å
α = 52.01°, β = 52.01°, γ = 52.01°
Fractional coordinates of all 15 atoms:
Rb 0.000 0.500 0.500
Rb 0.500 0.000 0.500
Rb 0.500 0.500 0.000
U 0.000 0.000 0.500
U 0.000 0.500 0.000
U 0.500 0.000 0.000
Al 0.500 0.500 0.500
Se 0.233 0.233 0.233
Se 0.249 0.716 0.716
Se 0.284 0.284 0.751
Se 0.284 0.751 0.284
Se 0.716 0.249 0.716
Se 0.716 0.716 0.249
Se 0.751 0.284 0.284
Se 0.767 0.767 0.767

---

(5)
## CoAs2SeCl (PBE)

Data for a relaxed structure of CoAs2SeCl.

Final energy in eV/atom: -2.937
ΔE_f (raw) in eV per atom: 1.410
D(E_F) in states/eV/f.u.: 6.1
ΔE to the lowest computed polymorph in meV per atom: 1017

a = 4.781 Å, b = 4.781 Å, c = 5.098 Å
α = 90.00°, β = 90.00°, γ = 90.00°
Fractional coordinates of all 5 atoms:
Co 0.000 0.000 0.000
As 0.000 0.500 0.500
As 0.500 0.000 0.500
Se 0.500 0.500 0.000
Cl 0.500 0.500 0.500

---

(6)
## AgPdPb2 (PBE)

Data for a relaxed structure of AgPdPb2.

Final energy in eV/atom: -3.916
Energy of formation from the pure elements in kJ/mol of formula units: -19.6
D(E_F) in states/eV/f.u.: 1.0
ΔE to the lowest computed polymorph in meV per atom: 0

a = 3.536 Å, b = 3.536 Å, c = 7.248 Å
α = 90.00°, β = 90.00°, γ = 90.00°
Fractional coordinates of all 4 atoms:
Ag 0.000 0.000 0.000
Pd 0.000 0.000 0.500
Pb 0.500 0.500 0.267
Pb 0.500 0.500 0.733